(1)
The following is a PBE calculation of crystalline Tb5Dy2Sb5 at its relaxed geometry, from Alexandria via LeMat-Bulk.

Cell and atoms, written as POSCAR:
```
Tb5Dy2Sb5
1.0
-0.494 -0.720 -4.268
2.245 -6.417 3.046
-12.500 0.919 1.291
Tb Dy Sb
5 2 5
Cartesian
-7.091 -3.157 1.353
-3.658 -3.061 -1.284
-6.497 0.100 -1.489
-0.061 -2.492 -1.796
-10.688 -3.726 1.865
-1.104 -6.334 -1.028
-9.645 0.116 1.096
-1.392 -3.930 0.824
-9.357 -2.288 -0.755
-4.919 -1.214 0.774
0.000 0.000 0.000
-5.830 -5.004 -0.705
```

crystal system: monoclinic
E_tot: -63.28 eV per cell
DOS(E_F): 0.6761 states/eV/atom
symmetry: C2/m (12)
magnetic moment: 0.00 μB/cell

---

(2)
The following is a PBE calculation of crystalline CrCo3Ir at its relaxed geometry, from Alexandria via LeMat-Bulk.

Cell and atoms, written as POSCAR:
```
CrCo3Ir
1.0
-1.952 1.544 -3.261
2.535 -2.052 -2.489
-2.568 -3.200 0.022
Cr Ir Co
1 1 3
Cartesian
0.000 0.000 0.000
-0.992 -1.854 -2.864
-1.284 -1.600 0.011
-0.976 0.772 -1.631
1.268 -1.026 -1.244
```

crystal system: cubic
formation energy: 1.2810 eV per atom
DOS(E_F): 1.6680 states/eV/atom
symmetry: Pm-3m (221)
distance to the lowest polymorph of the same formula: 0.0 meV/atom
magnetic moment: 2.54 μB/cell

---

(3)
The following is a PBE calculation of crystalline La3Dy6Ho at its relaxed geometry, from Alexandria via LeMat-Bulk.

Cell and atoms, written as POSCAR:
```
La3Dy6Ho
1.0
8.781 0.000 4.660
3.154 8.195 4.660
2.241 1.539 6.380
Dy La Ho
6 3 1
Cartesian
10.464 5.263 8.388
7.772 7.441 10.083
8.689 1.858 8.535
5.755 7.875 6.841
6.618 2.543 5.355
3.754 4.581 6.908
6.306 4.330 9.323
7.597 5.216 6.891
2.773 1.904 5.379
11.153 7.658 10.793
```

crystal system: trigonal
formation energy: 0.2802 eV per atom
DOS(E_F): 2.2216 states/eV/atom
symmetry: R-3 (148)
distance to the lowest polymorph of the same formula: 128.8 meV/atom
magnetic moment: 0.00 μB/cell

---

(4)
The following is a PBE calculation of crystalline Cd2In4Sn3 at its relaxed geometry, from Alexandria via LeMat-Bulk.

Cell and atoms, written as POSCAR:
```
Cd2In4Sn3
1.0
-2.475 -6.765 -1.629
6.021 4.092 0.928
-0.795 -7.147 6.069
Sn In Cd
3 4 2
Cartesian
0.000 0.000 0.000
3.809 -4.087 4.106
-1.058 -5.733 1.262
-0.442 -10.274 5.258
0.508 -4.648 4.057
2.243 -5.172 1.312
3.193 0.454 0.110
1.844 -2.069 2.067
0.908 -7.751 3.301
```

crystal system: triclinic
formation energy: 0.0427 eV per atom
DOS(E_F): 0.3617 states/eV/atom
symmetry: P-1 (2)
magnetic moment: 0.00 μB/cell

---

(5)
The following is a PBE calculation of crystalline Ca2SiSb at its relaxed geometry, from Alexandria via LeMat-Bulk.

Cell and atoms, written as POSCAR:
```
Ca2SiSb
1.0
3.449 0.000 0.000
0.000 5.247 0.000
0.000 0.000 6.287
Ca Si Sb
2 1 1
Cartesian
1.724 2.623 2.357
0.000 0.000 5.502
1.724 2.623 5.500
0.000 0.000 2.359
```

crystal system: orthorhombic
DOS(E_F): 0.8958 states/eV/atom
symmetry: Pmmm (47)
distance to the lowest polymorph of the same formula: 188.0 meV/atom
magnetic moment: 0.00 μB/cell

---

(6)
The following is a PBE calculation of crystalline SmSc3Se6 at its relaxed geometry, from Alexandria via LeMat-Bulk.

Cell and atoms, written as POSCAR:
```
SmSc3Se6
1.0
3.956 0.000 0.000
0.000 11.218 -0.049
0.000 -3.796 10.786
Sc Se Sm
6 12 2
Cartesian
2.967 1.450 0.940
2.967 1.780 9.002
2.967 5.754 5.344
0.989 1.668 5.393
0.989 5.972 9.797
0.989 5.642 1.735
2.967 7.186 2.876
2.967 -0.420 5.034
0.989 4.403 4.134
0.989 1.324 2.687
2.967 6.098 8.050
2.967 9.955 0.917
2.967 3.019 6.602
0.989 0.236 7.861
0.989 7.842 5.703
0.989 -2.533 9.819
0.989 3.256 10.127
2.967 4.166 0.609
2.967 -2.100 7.550
0.989 9.522 3.187
```

crystal system: monoclinic
E_tot: -123.90 eV per cell
symmetry: P2_1/m (11)
magnetic moment: 0.00 μB/cell

---

(7)
The following is a PBE calculation of crystalline ScSiC at its relaxed geometry, from Alexandria via LeMat-Bulk.

Cell and atoms, written as POSCAR:
```
ScSiC
1.0
4.226 0.000 0.000
0.000 4.181 0.000
0.000 0.000 10.316
Sc C Si
4 4 4
Cartesian
2.113 2.090 2.341
0.000 0.000 4.415
2.113 0.000 7.499
0.000 2.090 9.574
2.113 2.803 9.252
2.113 0.712 4.094
2.113 3.469 4.094
2.113 1.378 9.252
2.113 2.090 5.329
0.000 0.000 1.512
0.000 2.090 6.671
2.113 0.000 0.171
```

crystal system: orthorhombic
DOS(E_F): 0.3206 states/eV/atom
symmetry: Amm2 (38)
distance to the lowest polymorph of the same formula: 183.5 meV/atom
magnetic moment: 0.00 μB/cell

---

(8)
The following is a PBE calculation of crystalline ZnReSeN2 at its relaxed geometry, from Alexandria via LeMat-Bulk.

Cell and atoms, written as POSCAR:
```
ZnReSeN2
1.0
-0.748 -2.797 -2.441
-0.405 -2.414 2.889
-4.848 1.092 0.234
Zn Re N Se
1 1 2 1
Cartesian
0.000 0.000 0.000
-3.000 -2.059 0.341
-0.202 -1.207 1.445
-0.374 -1.398 -1.221
-2.424 0.546 0.117
```

crystal system: tetragonal
DOS(E_F): 0.7170 states/eV/atom
symmetry: P4/mmm (123)
distance to the lowest polymorph of the same formula: 1740.2 meV/atom
magnetic moment: 1.52 μB/cell

---

(9)
The following is a PBE calculation of crystalline Dy7CdIr4 at its relaxed geometry, from Alexandria via LeMat-Bulk.

Cell and atoms, written as POSCAR:
```
Dy7CdIr4
1.0
5.383 0.000 0.000
2.691 8.033 0.309
2.691 0.672 6.776
Dy Cd Ir
7 1 4
Cartesian
2.691 1.311 3.086
8.074 7.394 3.998
5.383 5.481 5.118
8.074 3.461 5.454
2.691 5.244 1.630
2.691 0.000 0.000
5.383 3.224 1.966
0.000 0.000 0.000
5.383 6.509 2.646
2.691 2.774 0.551
5.383 2.196 4.438
8.074 5.930 6.533
```

crystal system: monoclinic
formation energy: -0.4894 eV per atom
DOS(E_F): 0.5857 states/eV/atom
symmetry: C2/m (12)
magnetic moment: 0.00 μB/cell

---

(10)
The following is a PBE calculation of crystalline K2Li3TaF12 at its relaxed geometry, from Alexandria via LeMat-Bulk.

Cell and atoms, written as POSCAR:
```
K2Li3TaF12
1.0
-7.040 -1.734 3.139
-1.427 -4.300 6.473
-2.928 2.541 6.885
K Li F Ta
2 3 12 1
Cartesian
-6.679 -2.048 9.670
-4.716 -1.446 6.827
-0.713 -2.150 3.237
-3.520 -0.867 1.569
-1.464 1.270 3.442
-5.441 0.367 9.442
-2.656 1.280 5.456
-5.954 -3.860 7.055
-5.161 -1.324 3.175
-1.741 -2.886 5.206
-7.874 -2.163 7.225
-3.521 -1.330 9.271
-4.552 -3.681 9.199
-6.234 -2.169 13.322
-8.739 -4.773 11.040
-9.654 -0.607 11.291
-6.843 0.188 7.298
0.000 0.000 0.000
```

crystal system: trigonal
E_tot: -89.68 eV per cell
DOS(E_F): 0.4822 states/eV/atom
symmetry: R-3m (166)
magnetic moment: 2.00 μB/cell

---

(11)
The following is a PBE calculation of crystalline LiRuSe4 at its relaxed geometry, from Alexandria via LeMat-Bulk.

Cell and atoms, written as POSCAR:
```
LiRuSe4
1.0
0.000 4.011 4.011
4.011 0.000 4.011
4.011 4.011 0.000
Se Ru Li
4 1 1
Cartesian
3.005 5.017 5.017
5.017 5.017 3.005
3.005 3.005 3.005
5.017 3.005 5.017
0.000 0.000 0.000
6.016 6.016 6.016
```

crystal system: cubic
E_tot: -20.82 eV per cell
DOS(E_F): 0.8686 states/eV/atom
symmetry: F-43m (216)
magnetic moment: 3.01 μB/cell

---

(12)
The following is a PBE calculation of crystalline CaNiRh2 at its relaxed geometry, from Alexandria via LeMat-Bulk.

Cell and atoms, written as POSCAR:
```
CaNiRh2
1.0
2.935 0.000 0.000
0.000 4.686 0.000
0.000 0.000 4.583
Rh Ni Ca
2 1 1
Cartesian
1.467 2.343 0.000
0.000 0.000 0.000
0.000 2.343 2.292
1.467 0.000 2.292
```

crystal system: orthorhombic
formation energy: 0.0724 eV per atom
DOS(E_F): 1.7214 states/eV/atom
symmetry: Pmmm (47)
distance to the lowest polymorph of the same formula: 68.9 meV/atom
magnetic moment: 0.77 μB/cell

---

(13)
The following is a PBE calculation of crystalline RbPuTl2Cl6 at its relaxed geometry, from Alexandria via LeMat-Bulk.

Cell and atoms, written as POSCAR:
```
RbPuTl2Cl6
1.0
-1.103 -1.910 7.339
1.228 -8.091 -1.921
10.728 1.060 2.395
Cl Rb Tl Pu
12 2 4 2
Cartesian
9.758 -6.776 6.837
8.491 -7.344 2.668
1.095 -2.164 0.976
5.000 -1.181 2.249
2.168 -6.142 5.777
5.931 -2.746 5.806
8.685 -2.798 2.036
10.031 -3.046 6.774
5.853 -7.759 5.564
4.922 -6.194 2.007
2.362 -1.596 5.145
0.822 -5.894 1.039
5.978 -3.515 0.237
-0.552 -0.955 3.669
8.431 -4.677 4.580
2.422 -4.263 3.233
6.761 -1.575 8.839
4.092 -7.365 -1.026
0.614 -4.045 -0.960
4.812 -0.425 4.867
```

crystal system: monoclinic
E_tot: -94.02 eV per cell
DOS(E_F): 0.9339 states/eV/atom
symmetry: P2_1/c (14)
magnetic moment: 10.00 μB/cell

---

(14)
The following is a PBE calculation of crystalline Y2TeP2 at its relaxed geometry, from Alexandria via LeMat-Bulk.

Cell and atoms, written as POSCAR:
```
Y2TeP2
1.0
5.242 0.000 0.000
0.000 5.242 0.000
2.621 2.621 4.425
P Te Y
2 1 2
Cartesian
2.621 2.621 1.115
5.242 5.242 3.310
0.000 0.000 0.000
2.621 5.242 2.213
5.242 2.621 2.213
```

crystal system: tetragonal
DOS(E_F): 0.0004 states/eV/atom
symmetry: I4/mmm (139)
distance to the lowest polymorph of the same formula: 0.0 meV/atom
magnetic moment: 0.00 μB/cell

---

(15)
The following is a PBE calculation of crystalline TaTe2W2S4 at its relaxed geometry, from Alexandria via LeMat-Bulk.

Cell and atoms, written as POSCAR:
```
TaTe2W2S4
1.0
3.274 0.000 0.000
-1.637 2.835 0.000
0.000 0.000 22.572
Ta S Te W
1 4 2 2
Cartesian
0.000 0.000 7.407
1.637 0.945 20.312
1.637 0.945 0.827
0.000 0.000 13.413
0.000 0.000 16.501
1.637 0.945 9.501
1.637 0.945 5.314
1.637 0.945 14.957
0.000 0.000 21.855
```

crystal system: trigonal
E_tot: -65.63 eV per cell
DOS(E_F): 0.4100 states/eV/atom
symmetry: P3m1 (156)
magnetic moment: 0.00 μB/cell

---

(16)
The following is a PBE calculation of crystalline Tl4HgSe at its relaxed geometry, from Alexandria via LeMat-Bulk.

Cell and atoms, written as POSCAR:
```
Tl4HgSe
1.0
6.370 1.152 -0.343
2.350 5.774 1.778
3.492 0.544 5.434
Tl Se Hg
4 1 1
Cartesian
6.326 3.070 5.301
5.753 5.696 3.465
7.771 3.376 2.400
4.573 2.797 2.573
0.000 0.000 0.000
9.159 5.602 5.152
```

crystal system: cubic
DOS(E_F): 0.5030 states/eV/atom
symmetry: F-43m (216)
distance to the lowest polymorph of the same formula: 217.4 meV/atom
magnetic moment: 0.00 μB/cell

---

(17)
The following is a PBE calculation of crystalline MnGaCu2W at its relaxed geometry, from Alexandria via LeMat-Bulk.

Cell and atoms, written as POSCAR:
```
MnGaCu2W
1.0
-3.912 1.297 0.732
-1.089 -4.081 1.409
1.081 1.059 3.903
Cu W Ga Mn
2 1 1 1
Cartesian
-1.956 0.648 0.366
0.541 0.530 1.951
-1.960 -0.862 3.022
0.000 0.000 0.000
-0.545 -2.040 0.705
```

crystal system: tetragonal
formation energy: 1.2661 eV per atom
DOS(E_F): 0.7858 states/eV/atom
symmetry: P4/mmm (123)
magnetic moment: 2.83 μB/cell

---

(18)
The following is a PBE calculation of crystalline CaMg5Pb6 at its relaxed geometry, from Alexandria via LeMat-Bulk.

Cell and atoms, written as POSCAR:
```
CaMg5Pb6
1.0
-2.087 4.527 1.378
-2.407 -3.203 6.882
9.049 1.349 -0.817
Pb Mg Ca
6 5 1
Cartesian
2.836 2.805 4.545
1.719 -0.132 2.899
6.239 1.264 4.916
0.542 -1.695 6.256
4.013 4.368 1.188
-1.684 1.409 2.527
0.038 1.333 5.245
4.518 1.339 2.199
3.363 -0.255 5.669
1.192 2.928 1.775
-1.204 -1.602 3.441
0.000 0.000 0.000
```

crystal system: monoclinic
formation energy: -0.1280 eV per atom
DOS(E_F): 0.5011 states/eV/atom
symmetry: C2/m (12)
distance to the lowest polymorph of the same formula: 0.0 meV/atom
magnetic moment: 0.00 μB/cell

---

(19)
The following is a PBE calculation of crystalline ReAgTe2Cl at its relaxed geometry, from Alexandria via LeMat-Bulk.

Cell and atoms, written as POSCAR:
```
ReAgTe2Cl
1.0
-5.092 2.179 -0.215
-1.536 -3.289 3.043
1.250 3.341 4.242
Re Te Cl Ag
1 2 1 1
Cartesian
-2.689 1.116 3.535
0.625 1.671 2.121
-2.546 1.089 -0.108
0.000 0.000 0.000
-0.768 -1.644 1.522
```

crystal system: tetragonal
E_tot: -15.62 eV per cell
DOS(E_F): 0.4682 states/eV/atom
symmetry: P4/mmm (123)
magnetic moment: 4.69 μB/cell

---

(20)
The following is a PBE calculation of crystalline Tc2HgCF at its relaxed geometry, from Alexandria via LeMat-Bulk.

Cell and atoms, written as POSCAR:
```
Tc2HgCF
1.0
-4.585 1.533 -2.493
-2.071 -1.314 3.000
0.341 4.882 2.374
F Hg C Tc
1 1 1 2
Cartesian
-3.157 2.550 1.441
0.000 0.000 0.000
-1.035 -0.657 1.500
-2.292 0.766 -1.246
0.170 2.441 1.187
```

crystal system: tetragonal
E_tot: -20.69 eV per cell
DOS(E_F): 0.7624 states/eV/atom
symmetry: P4/mmm (123)
magnetic moment: 8.14 μB/cell

---

(21)
The following is a PBE calculation of crystalline Y2ZrCu at its relaxed geometry, from Alexandria via LeMat-Bulk.

Cell and atoms, written as POSCAR:
```
Y2ZrCu
1.0
3.600 0.000 0.000
0.000 5.238 0.000
0.000 0.000 5.068
Y Cu Zr
2 1 1
Cartesian
0.000 0.000 0.000
1.800 2.619 0.000
0.000 2.619 2.534
1.800 0.000 2.534
```

crystal system: orthorhombic
formation energy: 0.2528 eV per atom
DOS(E_F): 1.4508 states/eV/atom
symmetry: Pmmm (47)
distance to the lowest polymorph of the same formula: 316.1 meV/atom
magnetic moment: 0.00 μB/cell

---

(22)
The following is a PBE calculation of crystalline LaDy3Y6 at its relaxed geometry, from Alexandria via LeMat-Bulk.

Cell and atoms, written as POSCAR:
```
LaDy3Y6
1.0
-1.313 -4.593 -4.105
10.716 -2.841 -0.248
-7.078 -4.475 7.269
Y Dy La
12 6 2
Cartesian
1.004 -7.279 2.984
9.304 -4.808 -1.566
4.968 -3.992 1.530
-1.409 -7.668 5.558
-7.401 -8.578 3.161
-3.413 -3.637 1.689
5.451 -9.274 0.329
-2.352 -6.900 2.293
-0.239 -4.778 0.584
3.219 -4.839 4.378
3.447 -5.243 -3.539
1.975 -2.339 1.979
-0.204 -10.506 2.630
3.056 -6.246 0.173
4.294 -7.857 3.060
-0.348 -4.322 3.941
-2.496 -5.896 -1.794
2.001 -3.247 -1.364
-3.596 -5.093 4.820
6.026 -6.446 -1.575
```

crystal system: orthorhombic
formation energy: 0.1438 eV per atom
DOS(E_F): 1.3182 states/eV/atom
symmetry: Cmc2_1 (36)
distance to the lowest polymorph of the same formula: 0.0 meV/atom
magnetic moment: 0.00 μB/cell

---

(23)
The following is a PBE calculation of crystalline CrSbBr at its relaxed geometry, from Alexandria via LeMat-Bulk.

Cell and atoms, written as POSCAR:
```
CrSbBr
1.0
-3.342 -6.552 -2.353
-0.678 -7.579 1.313
0.215 7.472 1.938
Cr Sb Br
1 1 1
Cartesian
-1.364 -4.794 -0.353
-2.863 -10.064 -0.740
-3.813 -13.404 -0.986
```

crystal system: tetragonal
DOS(E_F): 0.4680 states/eV/atom
symmetry: I4mm (107)
distance to the lowest polymorph of the same formula: 11.3 meV/atom
magnetic moment: 3.76 μB/cell